(1)
DFT (PBE-GGA) results for RbBrN after structural relaxation.

As for the volume: 447.1 Å³ per cell. The offset from the most stable computed form comes out at 0 meV/atom. The raw formation energy comes out at -1.125 eV per atom. The total magnetization is 0.0 μB/f.u.

Structure (CIF):
```
data_RbBrN
_chemical_formula_sum 'Rb4 Br4 N4'
_cell_length_a 10.3012
_cell_length_b 6.2400
_cell_length_c 6.9569
_cell_angle_alpha 90.00
_cell_angle_beta 91.33
_cell_angle_gamma 90.00
_space_group_name_H-M_alt 'C 1 2/m 1'
_space_group_IT_number 12
loop_
_space_group_symop_operation_xyz
'x,y,z'
'-x,-y,-z'
'-x,y,-z'
'x,-y,z'
'x+1/2,y+1/2,z'
'-x+1/2,-y+1/2,-z'
'-x+1/2,y+1/2,-z'
'x+1/2,-y+1/2,z'
loop_
_atom_site_label
_atom_site_type_symbol
_atom_site_fract_x
_atom_site_fract_y
_atom_site_fract_z
Rb1 Rb 0.1725 0.0000 0.2489
Br1 Br 0.1675 0.0000 0.7554
N1 N 0.0461 0.5000 0.5426
```

***

(2)
DFT (PBE-GGA) results for RbBr2N2 after structural relaxation.

As for the volume: 564.9 Å³ per cell. The raw formation energy comes out at -0.510 eV per atom. The total magnetization is 0.0 μB/f.u.

Structure (CIF):
```
data_RbBr2N2
_chemical_formula_sum 'Rb4 Br8 N8'
_cell_length_a 7.1733
_cell_length_b 7.1733
_cell_length_c 10.9786
_cell_angle_alpha 90.00
_cell_angle_beta 90.00
_cell_angle_gamma 90.00
_space_group_name_H-M_alt 'P 4/m n c'
_space_group_IT_number 128
_space_group_name_Hall '-P 4 2n'
loop_
_atom_site_label
_atom_site_type_symbol
_atom_site_fract_x
_atom_site_fract_y
_atom_site_fract_z
Rb1 Rb 0.0000 0.0000 0.2496
Br1 Br 0.2458 0.2545 0.0000
N1 N 0.0549 0.5549 0.2500
```

***

(3)
DFT (PBE-GGA) results for Rb3Br2N2 after structural relaxation.

As for the volume: 512.7 Å³ per cell. The raw formation energy comes out at -0.960 eV per atom. The total magnetization is 1.0 μB/f.u.

Structure (CIF):
```
data_Rb3Br2N2
_chemical_formula_sum 'Rb6 Br4 N4'
_cell_length_a 20.2650
_cell_length_b 4.6447
_cell_length_c 5.6744
_cell_angle_alpha 90.00
_cell_angle_beta 106.26
_cell_angle_gamma 90.00
_space_group_name_H-M_alt 'C 1 2/m 1'
_space_group_IT_number 12
loop_
_space_group_symop_operation_xyz
'x,y,z'
'-x,-y,-z'
'-x,y,-z'
'x,-y,z'
'x+1/2,y+1/2,z'
'-x+1/2,-y+1/2,-z'
'-x+1/2,y+1/2,-z'
'x+1/2,-y+1/2,z'
loop_
_atom_site_label
_atom_site_type_symbol
_atom_site_fract_x
_atom_site_fract_y
_atom_site_fract_z
Rb1 Rb 0.0000 0.0000 0.0000
Rb2 Rb 0.1539 0.5000 0.6544
Br1 Br 0.1698 0.0000 0.1703
N1 N 0.0000 0.1277 0.5000
```